The following is a PBE-GGA calculation of K2C after structural relaxation, from the Alexandria database.

Lattice parameters (Å, degrees): 4.391 4.391 5.850 90.00 90.00 90.00
Space group P4/mmm (No. 123)
Symmetry-distinct sites (fractional):
K  0.000  0.000  0.000 x1
K  0.500  0.500  0.500 x1
C  0.000  0.000  0.500 x1

Results
Relative energy among the computed polymorphs   0.073 eV per atom
Energy of formation from the pure elements   4.317 eV per formula unit